1.
VASP calculation (PBE) on a relaxed Sr3Ag5F12 crystal.

Values from the calculation:
space-group type: Ia-3d, No. 230
DOS at the Fermi energy: 16.226 states/eV/f.u.

Lattice parameters (Å, degrees): 12.222 12.222 12.222 109.47 109.47 109.47
Sites, in units of the cell vectors:
Sr 0.750 0.375 0.125
Sr 0.875 0.750 0.125
Sr 0.375 0.750 0.625
Sr 0.250 0.125 0.375
Sr 0.875 0.125 0.250
Sr 0.375 0.625 0.250
Sr 0.625 0.375 0.750
Sr 0.125 0.875 0.750
Sr 0.750 0.875 0.625
Sr 0.625 0.250 0.375
Sr 0.125 0.250 0.875
Sr 0.250 0.625 0.875
Ag 0.125 0.375 0.250
Ag 0.000 0.500 0.000
Ag 0.000 0.000 0.000
Ag 0.375 0.250 0.125
Ag 0.500 0.000 0.500
Ag 0.500 0.500 0.000
Ag 0.125 0.750 0.375
Ag 0.750 0.125 0.875
Ag 0.750 0.625 0.375
Ag 0.375 0.125 0.750
Ag 0.625 0.875 0.250
Ag 0.500 0.500 0.500
Ag 0.500 0.000 0.000
Ag 0.000 0.000 0.500
Ag 0.250 0.375 0.625
Ag 0.250 0.875 0.125
Ag 0.000 0.500 0.500
Ag 0.875 0.250 0.625
Ag 0.625 0.750 0.875
Ag 0.875 0.625 0.750
F 0.723 0.138 0.055
F 0.332 0.555 0.416
F 0.945 0.362 0.277
F 0.555 0.223 0.138
F 0.584 0.723 0.668
F 0.945 0.584 0.168
F 0.332 0.777 0.416
F 0.084 0.916 0.138
F 0.584 0.945 0.668
F 0.723 0.584 0.168
F 0.777 0.445 0.362
F 0.832 0.916 0.055
F 0.138 0.723 0.555
F 0.362 0.416 0.084
F 0.084 0.916 0.362
F 0.416 0.138 0.584
F 0.084 0.168 0.223
F 0.445 0.668 0.084
F 0.832 0.916 0.277
F 0.138 0.416 0.084
F 0.362 0.945 0.777
F 0.584 0.638 0.416
F 0.916 0.832 0.555
F 0.777 0.332 0.916
F 0.416 0.362 0.584
F 0.084 0.168 0.445
F 0.223 0.668 0.084
F 0.168 0.084 0.723
F 0.638 0.055 0.223
F 0.862 0.584 0.916
F 0.555 0.332 0.916
F 0.584 0.862 0.416
F 0.916 0.832 0.777
F 0.916 0.084 0.638
F 0.862 0.277 0.445
F 0.168 0.084 0.945
F 0.638 0.584 0.916
F 0.416 0.055 0.332
F 0.277 0.416 0.832
F 0.223 0.555 0.638
F 0.916 0.084 0.862
F 0.668 0.223 0.584
F 0.445 0.777 0.862
F 0.055 0.416 0.832
F 0.416 0.277 0.332
F 0.055 0.638 0.723
F 0.668 0.445 0.584
F 0.277 0.862 0.945

---

2.
VASP calculation (PBE) on a relaxed SrTaAgF2 crystal.

Values from the calculation:
space-group type: P4/mmm, No. 123
DOS at the Fermi energy: 3.615 states/eV/f.u.

Lattice parameters (Å, degrees): 4.422 6.995 4.422 90.00 90.00 90.00
Sites, in units of the cell vectors:
Sr 0.000 0.000 0.000
F 0.000 0.000 0.500
F 0.500 0.000 0.000
Ag 0.000 0.500 0.000
Ta 0.500 0.500 0.500

---

3.
VASP calculation (PBE) on a relaxed SrTiAg2F8 crystal.

Values from the calculation:
space-group type: P2/m, No. 10
DOS at the Fermi energy: 0.000 states/eV/f.u.

Lattice parameters (Å, degrees): 4.581 5.769 7.327 89.99 90.00 93.82
Sites, in units of the cell vectors:
Sr 0.000 0.000 0.500
Ti 0.000 0.000 0.000
Ag 0.500 0.500 0.754
Ag 0.500 0.500 0.246
F 0.141 0.816 0.194
F 0.667 0.791 0.000
F 0.859 0.184 0.194
F 0.859 0.184 0.806
F 0.333 0.209 0.000
F 0.141 0.816 0.806
F 0.553 0.757 0.500
F 0.447 0.243 0.500

---

4.
VASP calculation (PBE) on a relaxed SrTlAg2F crystal.

Values from the calculation:
space-group type: P4/mmm, No. 123
DOS at the Fermi energy: 0.000 states/eV/f.u.

Lattice parameters (Å, degrees): 5.779 9.261 5.779 90.00 90.00 90.00
Sites, in units of the cell vectors:
Sr 0.000 0.000 0.000
Tl 0.000 0.500 0.000
Ag 0.000 0.000 0.500
Ag 0.500 0.000 0.000
F 0.500 0.500 0.500

---

5.
VASP calculation (PBE) on a relaxed SrTlAg2F8 crystal.

Values from the calculation:
space-group type: P-1, No. 2
DOS at the Fermi energy: 4.744 states/eV/f.u.

Lattice parameters (Å, degrees): 4.142 5.653 7.868 85.20 90.01 90.05
Sites, in units of the cell vectors:
Sr 0.000 0.000 0.500
Tl 0.000 0.000 0.000
Ag 0.499 0.496 0.754
Ag 0.501 0.504 0.246
F 0.002 0.761 0.245
F 0.502 0.768 0.019
F 0.999 0.239 0.210
F 0.998 0.239 0.755
F 0.498 0.232 0.981
F 0.001 0.761 0.790
F 0.500 0.746 0.524
F 0.500 0.254 0.476

---

6.
VASP calculation (PBE) on a relaxed SrTlAgF6 crystal.

Values from the calculation:
space-group type: P4_2nm, No. 102

Lattice parameters (Å, degrees): 5.431 5.431 11.247 90.00 90.00 90.00
Sites, in units of the cell vectors:
Sr 0.500 0.500 0.168
Sr 0.000 0.000 0.668
Tl 0.500 0.500 0.834
Tl 0.000 0.000 0.334
Ag 0.500 0.500 0.499
Ag 0.000 0.000 0.999
F 0.185 0.815 0.487
F 0.815 0.185 0.487
F 0.315 0.315 0.987
F 0.685 0.685 0.987
F 0.188 0.812 0.185
F 0.812 0.188 0.185
F 0.312 0.312 0.685
F 0.688 0.688 0.685
F 0.786 0.214 0.828
F 0.214 0.786 0.828
F 0.714 0.714 0.328
F 0.286 0.286 0.328

---

7.
VASP calculation (PBE) on a relaxed SrTl2AgF6 crystal.

Values from the calculation:
space-group type: P1, No. 1

Lattice parameters (Å, degrees): 6.213 6.302 6.715 117.97 118.20 90.19
Sites, in units of the cell vectors:
Sr 0.493 0.499 0.997
Tl 0.715 0.262 0.489
Tl 0.220 0.732 0.496
Ag 0.995 0.000 0.001
F 0.725 0.853 0.048
F 0.776 0.663 0.468
F 0.278 0.153 0.968
F 0.810 0.278 0.969
F 0.301 0.338 0.529
F 0.185 0.724 0.033

---

8.
VASP calculation (PBE) on a relaxed SrTl2Ag2F6 crystal.

Values from the calculation:
space-group type: C2/m, No. 12
DOS at the Fermi energy: 0.000 states/eV/f.u.

Lattice parameters (Å, degrees): 6.275 6.981 6.960 120.19 90.00 116.71
Sites, in units of the cell vectors:
Sr 0.500 0.000 0.500
Tl 0.736 0.472 0.182
Tl 0.264 0.528 0.818
Ag 0.923 0.846 0.747
Ag 0.077 0.154 0.253
F 0.715 0.431 0.591
F 0.160 0.836 0.183
F 0.324 0.164 0.817
F 0.840 0.164 0.817
F 0.676 0.836 0.183
F 0.285 0.569 0.409

---

Calculated values (g cm⁻³) of mass density for the records, taken in order: 4.868; 5.031; 4.324; 2.828; 5.967; 5.143; 6.088; 6.094.
Calculated values (eV/atom) of ΔE_f (raw) for the records, taken in order: -2.271; -0.776; -2.704; 0.338; -2.033; -2.342; -2.200; -2.023.
Calculated values (eV per cell) of final energy for the records, taken in order: -348.70; -24.01; -62.70; -9.93; -49.12; -78.42; -42.49; -45.60.